(1)
This record from Alexandria via LeMat-Bulk describes a relaxed structure of MgAl4H12O12. The functional is PBE.

Results
- Energy above the lowest structure with this stoichiometry: 66 meV/atom
- Density of states at the Fermi level: 0.0000 states/eV per atom

```
MgAl4H12O12
1.0
5.3051 0.0000 0.0000
0.7466 6.8437 0.0000
2.0297 0.0384 6.8083
Mg Al H O
1 4 12 12
Direct
0.0000 0.0000 0.0000 Mg
0.3596 0.6367 0.2020 Al
0.5249 0.8824 0.8763 Al
0.8223 0.4746 0.3480 Al
0.8557 0.1868 0.6593 Al
0.0921 0.1123 0.3129 H
0.1211 0.5746 0.5491 H
0.1308 0.4213 0.0018 H
0.2674 0.2678 0.7154 H
0.3197 0.8428 0.6214 H
0.4560 0.2817 0.3153 H
0.5809 0.2111 0.0310 H
0.5954 0.4977 0.7208 H
0.6659 0.8330 0.2978 H
0.7509 0.9966 0.2319 H
0.8175 0.5927 0.9495 H
0.8813 0.8352 0.5416 H
0.0315 0.2270 0.3999 O
0.0650 0.6212 0.4351 O
0.0868 0.2485 0.7924 O
0.0909 0.5151 0.1092 O
0.2676 0.8477 0.7646 O
0.2815 0.8873 0.1171 O
0.5636 0.3771 0.2339 O
0.5911 0.7003 0.3438 O
0.6363 0.3988 0.6161 O
0.6375 0.1251 0.9138 O
0.6411 0.6344 0.9358 O
0.7875 0.9343 0.6426 O
```

=====

(2)
This record from Alexandria via LeMat-Bulk describes a relaxed structure of MgAl4H12O12. The functional is PBE.

Results
- Energy above the lowest structure with this stoichiometry: 22 meV/atom
- Density of states at the Fermi level: 0.0000 states/eV per atom

```
MgAl4H12O12
1.0
5.0559 0.0000 0.0000
1.5864 5.8004 0.0000
0.9544 2.0822 8.0712
Mg Al H O
1 4 12 12
Direct
0.0000 0.0000 0.0000 Mg
0.2990 0.0953 0.5553 Al
0.4965 0.3516 0.1390 Al
0.8453 0.9208 0.6839 Al
0.9922 0.5280 0.9774 Al
0.0896 0.4771 0.6989 H
0.0959 0.3588 0.3109 H
0.1297 0.8325 0.4356 H
0.3518 0.7274 0.2887 H
0.3656 0.2025 0.9286 H
0.4262 0.8158 0.3000 H
0.4683 0.6983 0.6752 H
0.5466 0.8036 0.9472 H
0.6194 0.3458 0.5432 H
0.6863 0.3817 0.8228 H
0.7234 0.6291 0.2193 H
0.8229 0.0264 0.3030 H
0.0341 0.9704 0.4770 O
0.0766 0.0837 0.7372 O
0.0975 0.6044 0.7487 O
0.2437 0.6469 0.0489 O
0.2536 0.2205 0.0297 O
0.2856 0.3145 0.3503 O
0.5615 0.2161 0.6239 O
0.5685 0.8107 0.6036 O
0.7292 0.8378 0.9119 O
0.7324 0.0423 0.2015 O
0.7343 0.3647 0.9352 O
0.7853 0.4754 0.1910 O
```

=====

(3)
This record from Alexandria via LeMat-Bulk describes a relaxed structure of MgAl4H12O12. The functional is PBE.

Results
- Energy above the lowest structure with this stoichiometry: 22 meV/atom
- Density of states at the Fermi level: 0.0000 states/eV per atom

```
MgAl4H12O12
1.0
5.1236 0.0000 0.0000
2.2678 6.5479 0.0000
2.3904 0.7677 6.7945
Mg Al H O
1 4 12 12
Direct
0.0000 0.0000 0.0000 Mg
0.2674 0.7188 0.7409 Al
0.2786 0.4197 0.1013 Al
0.7679 0.2685 0.2914 Al
0.7770 0.9070 0.6116 Al
0.2702 0.0977 0.6135 H
0.2770 0.5087 0.4171 H
0.3041 0.7970 0.3811 H
0.3093 0.0377 0.1891 H
0.3189 0.3294 0.7748 H
0.4698 0.7339 0.0240 H
0.5011 0.8461 0.2147 H
0.6237 0.9358 0.2935 H
0.7467 0.6451 0.2043 H
0.7549 0.5994 0.5031 H
0.7831 0.2730 0.6396 H
0.8025 0.3943 0.9291 H
0.1733 0.7478 0.5083 O
0.1746 0.1686 0.1427 O
0.2398 0.4522 0.8428 O
0.3045 0.7009 0.0093 O
0.3514 0.0108 0.7177 O
0.3722 0.3875 0.3415 O
0.6677 0.6603 0.6282 O
0.7043 0.2945 0.0166 O
0.7668 0.9901 0.3229 O
0.8150 0.1844 0.5422 O
0.8787 0.5103 0.2392 O
0.8840 0.8608 0.8375 O
```

=====

(4)
This record from Alexandria via LeMat-Bulk describes a relaxed structure of MgAl4H12O12. The functional is PBE.

Results
- Energy above the lowest structure with this stoichiometry: 33 meV/atom
- Density of states at the Fermi level: 0.0000 states/eV per atom

```
MgAl4H12O12
1.0
5.1844 0.0000 0.0000
-2.4967 6.8750 0.0000
-2.2257 -0.8205 6.9346
Mg Al H O
1 4 12 12
Direct
0.0000 0.0000 0.0000 Mg
0.5422 0.5496 0.1374 Al
0.5919 0.1354 0.6075 Al
0.8788 0.8491 0.4981 Al
0.8994 0.3975 0.9821 Al
0.0326 0.7424 0.8006 H
0.0994 0.3960 0.7154 H
0.1524 0.2066 0.4950 H
0.2452 0.2769 0.2499 H
0.2605 0.7686 0.0689 H
0.2901 0.8007 0.4452 H
0.3635 0.9712 0.0893 H
0.5021 0.0479 0.9396 H
0.5190 0.5023 0.4693 H
0.6334 0.6063 0.8200 H
0.6591 0.9028 0.1741 H
0.8018 0.3204 0.3004 H
0.2058 0.2947 0.1083 O
0.2244 0.6267 0.0328 O
0.2603 0.8828 0.5362 O
0.3549 0.2644 0.4913 O
0.5887 0.6161 0.3983 O
0.5981 0.5017 0.9032 O
0.6548 0.1149 0.8782 O
0.7922 0.0613 0.4849 O
0.8009 0.8364 0.1837 O
0.8107 0.4175 0.2094 O
0.9091 0.3726 0.7273 O
0.9129 0.8232 0.7567 O
```